Compound: UNi4Os
Source: Alexandria
Functional: GGA-PBE
Structure: optimized geometry

**Calculated volume**: 13.29 Å³/atom
**Energy of formation from the pure elements**: -132 meV/atom
**VASP energy**: -7.7396 eV/atom
**Spin magnetization**: 0.1031 μB per atom
**Space group**: F-43m
**Crystal system**: cubic

Cell: 4.8318 4.8318 4.8318 Å, 60.00 60.00 60.00°
With the nearest neighbours (Å) after each atom.
Fractional positions:
1 U 0.0000 0.0000 0.0000  12 Ni 2.84, 4 Os 2.96
2 Ni 0.1283 0.6239 0.6239  6 Ni 2.39-2.44
3 Ni 0.6239 0.1283 0.6239  6 Ni 2.39-2.44
4 Ni 0.6239 0.6239 0.1283  6 Ni 2.39-2.44
5 Ni 0.6239 0.6239 0.6239  6 Ni 2.39-2.44
6 Os 0.2500 0.2500 0.2500  12 Ni 2.83, 4 U 2.96

---

Compound: Fe2TeIr
Source: Alexandria
Functional: GGA-PBE
Structure: optimized geometry

**Calculated volume**: 15.40 Å³/atom
**Formation energy from raw total energies**: 0.374 eV per atom
**VASP energy**: -6.8585 eV/atom
**Spin magnetization**: 1.4480 μB per atom
**Space group**: Cmmm
**Crystal system**: orthorhombic

Cell: 4.6503 4.6503 3.0361 Å, 90.00 90.00 110.29°
With the nearest neighbours (Å) after each atom.
Fractional positions:
1 Fe 0.0000 0.5000 0.0000  2 Fe 2.66, 4 Te 2.78, 4 Ir 2.78
2 Fe 0.5000 0.0000 0.0000  2 Fe 2.66, 4 Te 2.78, 4 Ir 2.78
3 Te 0.0000 0.0000 0.5000  2 Ir 2.66, 8 Fe 2.78
4 Ir 0.5000 0.5000 0.5000  2 Te 2.66, 8 Fe 2.78

---

Compound: ZrTc3
Source: Alexandria
Functional: GGA-PBE
Structure: optimized geometry

**Calculated volume**: 16.44 Å³/atom
**Energy of formation from the pure elements**: -20 meV/atom
**VASP energy**: -9.9313 eV/atom
**Spin magnetization**: 0.0000 μB per atom
**Space group**: Pnma
**Crystal system**: orthorhombic

Cell: 5.2837 9.2347 5.3907 Å, 90.00 90.00 90.00°
With the nearest neighbours (Å) after each atom.
Fractional positions:
1 Zr 0.0063 0.2500 0.1325  7 Tc 2.67-2.94, 2 Zr 2.93
2 Zr 0.4937 0.7500 0.6325  7 Tc 2.67-2.94, 2 Zr 2.93
3 Zr 0.5063 0.2500 0.3675  7 Tc 2.67-2.94, 2 Zr 2.93
4 Zr 0.9937 0.7500 0.8675  7 Tc 2.67-2.94, 2 Zr 2.93
5 Tc 0.0499 0.2500 0.6390  4 Tc 2.54-2.79, 3 Zr 2.67-2.82
6 Tc 0.2152 0.5213 0.3861  5 Tc 2.54-2.79
7 Tc 0.2152 0.9787 0.3861  5 Tc 2.54-2.79
8 Tc 0.2848 0.0213 0.8861  5 Tc 2.54-2.79
9 Tc 0.2848 0.4787 0.8861  5 Tc 2.54-2.79
10 Tc 0.4501 0.7500 0.1390  4 Tc 2.54-2.79, 3 Zr 2.67-2.82
11 Tc 0.5499 0.2500 0.8610  4 Tc 2.54-2.79, 3 Zr 2.67-2.82
12 Tc 0.7152 0.5213 0.1139  5 Tc 2.54-2.79
13 Tc 0.7152 0.9787 0.1139  5 Tc 2.54-2.79
14 Tc 0.7848 0.0213 0.6139  5 Tc 2.54-2.79
15 Tc 0.7848 0.4787 0.6139  5 Tc 2.54-2.79
16 Tc 0.9501 0.7500 0.3610  4 Tc 2.54-2.79, 3 Zr 2.67-2.82

---

Compound: La2RuBr
Source: Alexandria
Functional: GGA-PBE
Structure: optimized geometry

**Distance to the lowest polymorph of the same formula**: 348.0 meV/atom
**Calculated volume**: 36.55 Å³/atom
**Formation energy from raw total energies**: -0.561 eV per atom
**VASP energy**: -5.7616 eV/atom
**Spin magnetization**: 0.0000 μB per atom
**Space group**: I-42d
**Crystal system**: tetragonal

Cell: 7.9040 7.9040 7.9040 Å, 128.73 128.73 75.44°
With the nearest neighbours (Å) after each atom.
Fractional positions:
1 La 0.0588 0.6250 0.9338  2 Ru 2.64
2 La 0.3750 0.3088 0.4338  2 Ru 2.64
3 La 0.6912 0.1250 0.0662  2 Ru 2.64
4 La 0.8750 0.9412 0.5662  2 Ru 2.64
5 Ru 0.0000 0.0000 0.0000  4 La 2.64
6 Ru 0.7500 0.2500 0.5000  4 La 2.64
7 Br 0.2500 0.7500 0.5000  4 La 3.17
8 Br 0.5000 0.5000 0.0000  4 La 3.17

---

Compound: Ti2GaSb2
Source: Alexandria
Functional: GGA-PBE
Structure: optimized geometry

**Distance to the lowest polymorph of the same formula**: 0.0 meV/atom
**Calculated volume**: 20.12 Å³/atom
**Formation energy from raw total energies**: -0.329 eV per atom
**VASP energy**: -5.7418 eV/atom
**Spin magnetization**: 0.0000 μB per atom
**Space group**: P4/mbm
**Crystal system**: tetragonal

Cell: 7.2578 7.2578 3.8189 Å, 90.00 90.00 90.00°
With the nearest neighbours (Å) after each atom.
Fractional positions:
1 Ti 0.1488 0.3512 0.0000  2 Ga 2.77, 6 Sb 2.79-2.91, 1 Ti 3.05
2 Ti 0.3512 0.8512 0.0000  2 Ga 2.77, 6 Sb 2.79-2.91, 1 Ti 3.05
3 Ti 0.6488 0.1488 0.0000  2 Ga 2.77, 6 Sb 2.79-2.91, 1 Ti 3.05
4 Ti 0.8512 0.6488 0.0000  2 Ga 2.77, 6 Sb 2.79-2.91, 1 Ti 3.05
5 Ga 0.0000 0.0000 0.0000  4 Ti 2.77
6 Ga 0.5000 0.5000 0.0000  4 Ti 2.77
7 Sb 0.1534 0.6534 0.5000  6 Ti 2.79-2.91
8 Sb 0.3466 0.1534 0.5000  6 Ti 2.79-2.91
9 Sb 0.6534 0.8466 0.5000  6 Ti 2.79-2.91
10 Sb 0.8466 0.3466 0.5000  6 Ti 2.79-2.91

---

Compound: DyAlSi2
Source: Alexandria
Functional: GGA-PBE
Structure: optimized geometry

**Calculated volume**: 18.96 Å³/atom
**Formation energy from raw total energies**: -0.298 eV per atom
**VASP energy**: -5.0953 eV/atom
**Spin magnetization**: 0.0000 μB per atom
**Space group**: R-3m
**Crystal system**: trigonal

Cell: 5.3984 5.3984 5.3984 Å, 46.59 46.59 46.59°
With the nearest neighbours (Å) after each atom.
Fractional positions:
1 Dy 0.0000 0.0000 0.0000  8 Si 3.02-3.06
2 Al 0.5000 0.5000 0.5000  6 Si 2.55
3 Si 0.2127 0.2127 0.2127  3 Al 2.55, 3 Si 2.80
4 Si 0.7873 0.7873 0.7873  3 Al 2.55, 3 Si 2.80

---

Compound: Cs2BaIrCl
Source: Alexandria
Functional: GGA-PBE
Structure: optimized geometry

**Calculated volume**: 61.38 Å³/atom
**Formation energy from raw total energies**: 0.129 eV per atom
**VASP energy**: -2.7389 eV/atom
**Spin magnetization**: 0.0000 μB per atom
**Space group**: P4/mmm
**Crystal system**: tetragonal

Cell: 7.6181 7.6181 5.2879 Å, 90.00 90.00 90.00°
With the nearest neighbours (Å) after each atom.
Fractional positions:
1 Cs 0.0000 0.5000 0.0000  2 Ba 3.81
2 Cs 0.5000 0.0000 0.0000  2 Ba 3.81
3 Ba 0.0000 0.0000 0.0000  2 Ir 2.64
4 Ir 0.0000 0.0000 0.5000  2 Ba 2.64
5 Cl 0.5000 0.5000 0.5000  8 Cs 4.64

---

Compound: GaAsHBr2
Source: Alexandria
Functional: GGA-PBE
Structure: optimized geometry

**Distance to the lowest polymorph of the same formula**: 335.9 meV/atom
**Calculated volume**: 28.96 Å³/atom
**VASP energy**: -2.3554 eV/atom
**Spin magnetization**: 0.5382 μB per atom
**Space group**: P4/mmm
**Crystal system**: tetragonal

Cell: 5.3486 5.3486 5.0618 Å, 90.00 90.00 90.00°
With the nearest neighbours (Å) after each atom.
Fractional positions:
1 Ga 0.0000 0.0000 0.0000  2 As 2.53, 4 Br 2.67
2 As 0.0000 0.0000 0.5000  2 Ga 2.53
3 H 0.5000 0.5000 0.5000  8 Br 3.68, 4 As 3.78
4 Br 0.0000 0.5000 0.0000  2 Ga 2.67
5 Br 0.5000 0.0000 0.0000  2 Ga 2.67

---

Compound: MgIrSe2
Source: Alexandria
Functional: GGA-PBE
Structure: optimized geometry

**Calculated volume**: 24.36 Å³/atom
**Formation energy from raw total energies**: -0.266 eV per atom
**VASP energy**: -4.6224 eV/atom
**Spin magnetization**: 0.0000 μB per atom
**Space group**: I-42d
**Crystal system**: tetragonal

Cell: 7.3112 7.3112 7.3112 Å, 134.64 134.64 66.10°
With the nearest neighbours (Å) after each atom.
Fractional positions:
1 Mg 0.0000 0.0000 0.0000  4 Se 2.61
2 Mg 0.7500 0.2500 0.5000  4 Se 2.61
3 Ir 0.2500 0.7500 0.5000  4 Se 2.43
4 Ir 0.5000 0.5000 0.0000  4 Se 2.43
5 Se 0.1537 0.6250 0.0287  2 Ir 2.43, 2 Mg 2.61
6 Se 0.3750 0.4037 0.5287  2 Ir 2.43, 2 Mg 2.61
7 Se 0.5963 0.1250 0.9713  2 Ir 2.43, 2 Mg 2.61
8 Se 0.8750 0.8463 0.4713  2 Ir 2.43, 2 Mg 2.61

---

Compound: Hg2OsRh
Source: Alexandria
Functional: GGA-PBE
Structure: optimized geometry

**Distance to the lowest polymorph of the same formula**: 766.1 meV/atom
**Calculated volume**: 19.23 Å³/atom
**Energy of formation from the pure elements**: 1104 meV/atom
**VASP energy**: -3.6923 eV/atom
**Spin magnetization**: 0.0002 μB per atom
**Space group**: I-42d
**Crystal system**: tetragonal

Cell: 5.9937 5.9937 5.9937 Å, 101.48 101.48 127.01°
With the nearest neighbours (Å) after each atom.
Fractional positions:
1 Hg 0.1246 0.6250 0.9996  2 Hg 2.67, 2 Os 2.76, 2 Rh 2.77
2 Hg 0.3750 0.3746 0.4996  2 Hg 2.67, 2 Os 2.76, 2 Rh 2.77
3 Hg 0.6254 0.1250 0.0004  2 Hg 2.67, 2 Os 2.76, 2 Rh 2.77
4 Hg 0.8750 0.8754 0.5004  2 Hg 2.67, 2 Os 2.76, 2 Rh 2.77
5 Os 0.0000 0.0000 0.0000  2 Rh 2.67, 4 Hg 2.76
6 Os 0.7500 0.2500 0.5000  2 Rh 2.67, 4 Hg 2.76
7 Rh 0.2500 0.7500 0.5000  2 Os 2.67, 4 Hg 2.77
8 Rh 0.5000 0.5000 0.0000  2 Os 2.67, 4 Hg 2.77

---

Compound: Rb2PmSeO6
Source: Alexandria
Functional: GGA-PBE
Structure: optimized geometry

**Calculated volume**: 21.75 Å³/atom
**Formation energy from raw total energies**: -1.481 eV per atom
**VASP energy**: -5.4734 eV/atom
**Spin magnetization**: 0.1041 μB per atom
**Space group**: P-3m1
**Crystal system**: trigonal

Cell: 6.5178 6.5178 5.9131 Å, 90.00 90.00 120.00°
With the nearest neighbours (Å) after each atom.
Fractional positions:
1 Rb 0.3333 0.6667 0.1041  3 O 2.85
2 Rb 0.6667 0.3333 0.8959  3 O 2.85
3 Pm 0.0000 0.0000 0.5000  6 O 2.38
4 Se 0.0000 0.0000 0.0000  6 O 1.84
5 O 0.1309 0.2617 0.8148  1 Se 1.84
6 O 0.1309 0.8691 0.8148  1 Se 1.84
7 O 0.2617 0.1309 0.1852  1 Se 1.84
8 O 0.7383 0.8691 0.8148  1 Se 1.84
9 O 0.8691 0.1309 0.1852  1 Se 1.84
10 O 0.8691 0.7383 0.1852  1 Se 1.84

---

Compound: CoSbAu4
Source: Alexandria
Functional: GGA-PBE
Structure: optimized geometry

**Calculated volume**: 19.86 Å³/atom
**Formation energy from raw total energies**: 0.394 eV per atom
**VASP energy**: -3.6618 eV/atom
**Spin magnetization**: 0.3480 μB per atom
**Space group**: F-43m
**Crystal system**: cubic

Cell: 5.5236 5.5236 5.5236 Å, 60.00 60.00 60.00°
With the nearest neighbours (Å) after each atom.
Fractional positions:
1 Co 0.0000 0.0000 0.0000  12 Au 3.24, 4 Sb 3.38
2 Sb 0.7500 0.7500 0.7500  12 Au 3.24, 4 Co 3.38
3 Au 0.3746 0.3746 0.3746  6 Au 2.75-2.77
4 Au 0.3746 0.3746 0.8763  6 Au 2.75-2.77
5 Au 0.3746 0.8763 0.3746  6 Au 2.75-2.77
6 Au 0.8763 0.3746 0.3746  6 Au 2.75-2.77

---

Compound: Zr4TcPd
Source: Alexandria
Functional: GGA-PBE
Structure: optimized geometry

**Distance to the lowest polymorph of the same formula**: 0.0 meV/atom
**Calculated volume**: 19.76 Å³/atom
**Energy of formation from the pure elements**: -363 meV/atom
**VASP energy**: -8.6545 eV/atom
**Spin magnetization**: 0.0000 μB per atom
**Space group**: P4/mmm
**Crystal system**: tetragonal

Cell: 3.3472 3.3472 10.5798 Å, 90.00 90.00 90.00°
With the nearest neighbours (Å) after each atom.
Fractional positions:
1 Zr 0.0000 0.0000 0.1508  4 Tc 2.85, 5 Zr 3.10-3.19
2 Zr 0.0000 0.0000 0.8492  4 Tc 2.85, 5 Zr 3.10-3.19
3 Zr 0.5000 0.5000 0.3403  4 Pd 2.91, 4 Zr 3.10
4 Zr 0.5000 0.5000 0.6597  4 Pd 2.91, 4 Zr 3.10
5 Tc 0.5000 0.5000 0.0000  8 Zr 2.85
6 Pd 0.0000 0.0000 0.5000  8 Zr 2.91